Here is Sr2YRu after structural relaxation from Alexandria. Energies are from PBE-GGA.

extended XYZ file:
```
4
Lattice="-3.490 -0.292 -1.495 -1.162 -2.311 3.163 -3.134 6.282 6.088" Properties=species:S:1:pos:R:3 pbc="T T T"
Y -2.467 2.562 5.258
Sr -3.911 3.915 8.365
Ru -4.949 1.716 6.367
Sr -2.902 1.443 1.643
```

The crystal system is monoclinic. As for the space-group type: Pm. The calculation puts the offset from the most stable computed form at 0.0061 eV per atom. The formation energy is 0.3 eV per formula unit.